[1]
## MnHgAu2 (PBE)

Data for a relaxed MnHgAu2 crystal.

Output
ΔE_f, eV per formula unit: 0.31
M_tot, μB/atom: 1.073
Electronic total energy, Ry per atom: -0.289

CIF file:
```
data_MnHgAu2
_cell_length_a 3.1599
_cell_length_b 3.1599
_cell_length_c 26.6243
_cell_angle_alpha 90.00
_cell_angle_beta 90.00
_cell_angle_gamma 120.00
_space_group_name_H-M_alt 'R 3 m'
_space_group_IT_number 160
_space_group_name_Hall 'R 3 -2"'
loop_
_atom_site_label
_atom_site_fract_x
_atom_site_fract_y
_atom_site_fract_z
Mn1 0.0000 0.0000 0.0000
Hg1 0.0000 0.0000 0.1670
Au1 0.0000 0.0000 0.4079
Au2 0.0000 0.0000 0.5923
```


[2]
## KRb2Zn2 (PBE)

Data for a relaxed KRb2Zn2 crystal.

Output
Excess energy over the best structure of this formula in the dataset, eV/atom: 0.000
ΔE_f, eV per formula unit: 0.61
M_tot, μB/atom: 0.000
Electronic total energy, Ry per atom: -0.073

CIF file:
```
data_KRb2Zn2
_cell_length_a 9.2590
_cell_length_b 9.2590
_cell_length_c 5.5168
_cell_angle_alpha 90.00
_cell_angle_beta 90.00
_cell_angle_gamma 90.00
_space_group_name_H-M_alt 'P 4/m b m'
_space_group_IT_number 127
_space_group_name_Hall '-P 4 2ab'
loop_
_atom_site_label
_atom_site_fract_x
_atom_site_fract_y
_atom_site_fract_z
K1 0.0000 0.0000 0.0000
Rb1 0.1762 0.3238 0.5000
Zn1 0.1001 0.6001 0.0000
```


[3]
## Re2PbN (PBE)

Data for a relaxed Re2PbN crystal.

Output
Excess energy over the best structure of this formula in the dataset, eV/atom: 0.000
Formation energy (no corrections), eV/atom: 0.96
M_tot, μB/atom: 0.235
Electronic total energy, Ry per atom: -0.608

CIF file:
```
data_Re2PbN
_cell_length_a 5.6743
_cell_length_b 5.6743
_cell_length_c 9.2466
_cell_angle_alpha 90.00
_cell_angle_beta 90.00
_cell_angle_gamma 90.00
_space_group_name_H-M_alt 'I -4 2 d'
_space_group_IT_number 122
_space_group_name_Hall 'I -4 2bw'
loop_
_atom_site_label
_atom_site_fract_x
_atom_site_fract_y
_atom_site_fract_z
Re1 0.1076 0.2500 0.1250
Pb1 0.0000 0.0000 0.5000
N1 0.0000 0.0000 0.0000
```